[1]
This record from Alexandria describes a relaxed SmEr3Sb3 crystal. The functional is PBE.

Unit cell a=9.188 b=9.188 c=9.188 alpha=90.00 beta=90.00 gamma=90.00
Space group P2_13 (No. 198)
Asymmetric unit:
Sm 0.070 0.430 0.570 (multiplicity 4)
Er 0.076 0.576 0.924 (multiplicity 4)
Er 0.178 0.822 0.322 (multiplicity 4)
Er 0.180 0.180 0.180 (multiplicity 4)
Sb 0.002 0.256 0.878 (multiplicity 12)

Values from the calculation:
Density of states at the Fermi level = 26.8 states/eV per cell
E_form (uncorrected) = -6.78 eV/f.u.

[2]
This record from Alexandria describes a relaxed SmEr5Sb4 crystal. The functional is PBE.

Unit cell a=18.608 b=4.303 c=8.403 alpha=90.00 beta=106.40 gamma=90.00
Space group C2/m (No. 12)
Asymmetric unit:
Sm 0.000 0.000 0.000 (multiplicity 2)
Er 0.000 0.000 0.500 (multiplicity 2)
Er 0.161 0.500 0.822 (multiplicity 4)
Er 0.180 0.500 0.350 (multiplicity 4)
Sb 0.010 0.500 0.265 (multiplicity 4)
Sb 0.172 0.000 0.088 (multiplicity 4)

Values from the calculation:
Density of states at the Fermi level = 10.9 states/eV per cell
E_form (uncorrected) = -6.92 eV/f.u.

[3]
This record from Alexandria describes a relaxed Tb3Sm2ErSb6 crystal. The functional is PBE.

Unit cell a=19.250 b=4.418 c=8.833 alpha=90.00 beta=103.24 gamma=90.00
Space group C2/m (No. 12)
Asymmetric unit:
Tb 0.000 0.000 0.000 (multiplicity 2)
Tb 0.168 0.500 0.334 (multiplicity 4)
Sm 0.166 0.500 0.833 (multiplicity 4)
Er 0.000 0.000 0.500 (multiplicity 2)
Sb 0.002 0.500 0.253 (multiplicity 4)
Sb 0.165 0.000 0.579 (multiplicity 4)
Sb 0.166 0.000 0.086 (multiplicity 4)

Values from the calculation:
Density of states at the Fermi level = 3.8 states/eV per cell
E_form (uncorrected) = -13.76 eV/f.u.

[4]
This record from Alexandria describes a relaxed TbSm2Er3Sb6 crystal. The functional is PBE.

Unit cell a=19.174 b=4.401 c=8.798 alpha=90.00 beta=103.18 gamma=90.00
Space group C2/m (No. 12)
Asymmetric unit:
Tb 0.000 0.000 0.000 (multiplicity 2)
Sm 0.166 0.500 0.333 (multiplicity 4)
Er 0.000 0.000 0.500 (multiplicity 2)
Er 0.167 0.500 0.834 (multiplicity 4)
Sb 0.002 0.500 0.749 (multiplicity 4)
Sb 0.165 0.000 0.588 (multiplicity 4)
Sb 0.167 0.000 0.078 (multiplicity 4)

Values from the calculation:
Density of states at the Fermi level = 3.8 states/eV per cell
E_form (uncorrected) = -13.55 eV/f.u.

[5]
This record from Alexandria describes a relaxed SmErSbTe crystal. The functional is PBE.

Unit cell a=4.3146 b=4.3146 c=22.6976 alpha=90.00 beta=90.00 gamma=120.00
Space group R3m (No. 160, hexagonal axes)
Asymmetric unit:
Sm 0.0000 0.0000 0.0000 (multiplicity 3)
Er 0.0000 0.0000 0.8223 (multiplicity 3)
Sb 0.0000 0.0000 0.4155 (multiplicity 3)
Te 0.0000 0.0000 0.2410 (multiplicity 3)

Values from the calculation:
Density of states at the Fermi level = 9.6 states/eV per cell
E_form (uncorrected) = -4.92 eV/f.u.

[6]
This record from Alexandria describes a relaxed SmEr3Th2Sb6 crystal. The functional is PBE.

Unit cell a=19.261 b=4.436 c=8.830 alpha=90.00 beta=102.98 gamma=90.00
Space group C2/m (No. 12)
Asymmetric unit:
Sm 0.000 0.000 0.000 (multiplicity 2)
Er 0.000 0.000 0.500 (multiplicity 2)
Er 0.166 0.500 0.834 (multiplicity 4)
Th 0.165 0.500 0.331 (multiplicity 4)
Sb 0.003 0.500 0.746 (multiplicity 4)
Sb 0.165 0.000 0.589 (multiplicity 4)
Sb 0.168 0.000 0.077 (multiplicity 4)

Values from the calculation:
Density of states at the Fermi level = 9.1 states/eV per cell
E_form (uncorrected) = -12.62 eV/f.u.

Calculated volume per entry: 194, 323, 366, 361, 122, 368 Å³/f.u.